Compound: BaAgGe2
Source: the Alexandria database
Functional: meta-GGA SCAN
Structure: PBEsol geometry

Summary:
The space group is Fm-3m, No. 225. For the density, the calculation gives 6943 kg/m3. The value obtained for the formation energy from the elements is 0.06 eV per atom. Its total magnetic moment is 0.00 Bohr magnetons per cell.

Unit cell a=5.093 b=5.093 c=5.093 alpha=60.00 beta=60.00 gamma=60.00
Fractional coordinates of all 4 atoms:
Ba (0.000, 0.000, 0.000)
Ag (0.500, 0.500, 0.500)
Ge (0.250, 0.250, 0.250)
Ge (0.750, 0.750, 0.750)


Compound: BaAgH3
Source: the Alexandria database
Functional: meta-GGA SCAN
Structure: PBEsol geometry

Summary:
The space group is Pm-3m, No. 221. For the density, the calculation gives 6275 kg/m3. Its raw total energy is -16.5849 eV per atom. Its total magnetic moment is 0.00 Bohr magnetons per cell.

Unit cell a=4.035 b=4.035 c=4.035 alpha=90.00 beta=90.00 gamma=90.00
Fractional coordinates of all 5 atoms:
Ba (0.000, 0.000, 0.000)
Ag (0.500, 0.500, 0.500)
H (0.000, 0.500, 0.500)
H (0.500, 0.000, 0.500)
H (0.500, 0.500, 0.000)


Compound: Ba2AgH2
Source: the Alexandria database
Functional: meta-GGA SCAN
Structure: PBEsol geometry

Summary:
The space group is I4/mmm, No. 139. For the density, the calculation gives 5127 kg/m3. Its raw total energy is -23.8937 eV per atom. Its total magnetic moment is 0.20 Bohr magnetons per cell.

Unit cell a=7.738 b=7.738 c=7.738 alpha=148.72 beta=148.72 gamma=44.83
Fractional coordinates of all 5 atoms:
Ba (0.145, 0.145, 0.000)
Ba (0.855, 0.855, 0.000)
Ag (0.500, 0.500, 0.000)
H (0.250, 0.750, 0.500)
H (0.750, 0.250, 0.500)


Compound: BaLa2AgH
Source: the Alexandria database
Functional: meta-GGA SCAN
Structure: PBEsol geometry

Summary:
The space group is P4/mmm, No. 123. For the density, the calculation gives 6461 kg/m3. Its raw total energy is -32.1887 eV per atom. Its total magnetic moment is 1.79 Bohr magnetons per cell.

Unit cell a=4.874 b=4.874 c=5.669 alpha=90.00 beta=90.00 gamma=90.00
Fractional coordinates of all 5 atoms:
Ba (0.000, 0.000, 0.000)
La (0.000, 0.500, 0.500)
La (0.500, 0.000, 0.500)
Ag (0.500, 0.500, 0.000)
H (0.000, 0.000, 0.500)


Compound: BaAgHg2
Source: the Alexandria database
Functional: meta-GGA SCAN
Structure: PBEsol geometry

Summary:
The space group is I4/mmm, No. 139. For the density, the calculation gives 10150 kg/m3. The value obtained for the formation energy from the elements is -0.33 eV per atom. Its total magnetic moment is 0.00 Bohr magnetons per cell.

Unit cell a=5.483 b=5.483 c=5.483 alpha=125.32 beta=125.32 gamma=81.02
Fractional coordinates of all 4 atoms:
Ba (0.000, 0.000, 0.000)
Ag (0.500, 0.500, 0.000)
Hg (0.250, 0.750, 0.500)
Hg (0.750, 0.250, 0.500)


Compound: BaAgHg2
Source: the Alexandria database
Functional: meta-GGA SCAN
Structure: PBEsol geometry

Summary:
The space group is R-3m, No. 166. For the density, the calculation gives 9665 kg/m3. The value obtained for the formation energy from the elements is -0.40 eV per atom. Its total magnetic moment is 0.00 Bohr magnetons per cell.

Unit cell a=6.063 b=6.063 c=6.063 alpha=47.55 beta=47.55 gamma=47.55
Fractional coordinates of all 4 atoms:
Ba (0.000, 0.000, 0.000)
Ag (0.500, 0.500, 0.500)
Hg (0.212, 0.212, 0.212)
Hg (0.788, 0.788, 0.788)


Compound: BaAgHg
Source: the Alexandria database
Functional: meta-GGA SCAN
Structure: PBEsol geometry

Summary:
The space group is P-6m2, No. 187. For the density, the calculation gives 8413 kg/m3. The value obtained for the formation energy from the elements is -0.47 eV per atom. Its total magnetic moment is 0.01 Bohr magnetons per cell.

Unit cell a=4.924 b=4.924 c=4.191 alpha=90.00 beta=90.00 gamma=120.00
Fractional coordinates of all 3 atoms:
Ba (0.000, 0.000, 0.000)
Ag (0.667, 0.333, 0.500)
Hg (0.333, 0.667, 0.500)


Compound: BaAgHg2
Source: the Alexandria database
Functional: meta-GGA SCAN
Structure: PBEsol geometry

Summary:
The space group is R3m, No. 160. For the density, the calculation gives 9534 kg/m3. The value obtained for the formation energy from the elements is -0.40 eV per atom. Its total magnetic moment is 0.00 Bohr magnetons per cell.

Unit cell a=6.116 b=6.116 c=6.116 alpha=47.18 beta=47.18 gamma=47.18
Fractional coordinates of all 4 atoms:
Ba (0.000, 0.000, 0.000)
Ag (0.796, 0.796, 0.796)
Hg (0.208, 0.208, 0.208)
Hg (0.462, 0.462, 0.462)


Compound: Ba2Ag2Hg
Source: the Alexandria database
Functional: meta-GGA SCAN
Structure: PBEsol geometry

Summary:
The space group is P4/mbm, No. 127. For the density, the calculation gives 6784 kg/m3. The value obtained for the formation energy from the elements is -0.34 eV per atom. Its total magnetic moment is 0.00 Bohr magnetons per cell.

Unit cell a=8.577 b=8.577 c=4.598 alpha=90.00 beta=90.00 gamma=90.00
Fractional coordinates of all 10 atoms:
Ba (0.182, 0.318, 0.000)
Ba (0.318, 0.818, 0.000)
Ba (0.682, 0.182, 0.000)
Ba (0.818, 0.682, 0.000)
Ag (0.116, 0.616, 0.500)
Ag (0.384, 0.116, 0.500)
Ag (0.616, 0.884, 0.500)
Ag (0.884, 0.384, 0.500)
Hg (0.000, 0.000, 0.500)
Hg (0.500, 0.500, 0.500)


Compound: BaAgHg2
Source: the Alexandria database
Functional: meta-GGA SCAN
Structure: PBEsol geometry

Summary:
The space group is Imm2, No. 44. For the density, the calculation gives 9843 kg/m3. The value obtained for the formation energy from the elements is -0.32 eV per atom. Its total magnetic moment is 0.00 Bohr magnetons per cell.

Unit cell a=5.400 b=5.400 c=5.400 alpha=125.63 beta=115.87 gamma=88.92
Fractional coordinates of all 4 atoms:
Ba (0.000, 0.000, 0.000)
Ag (0.712, 0.212, 0.500)
Hg (0.286, 0.786, 0.500)
Hg (0.520, 0.520, 0.000)


Compound: BaAgHg2
Source: the Alexandria database
Functional: meta-GGA SCAN
Structure: PBEsol geometry

Summary:
The space group is Immm, No. 71. For the density, the calculation gives 9911 kg/m3. The value obtained for the formation energy from the elements is -0.36 eV per atom. Its total magnetic moment is 0.00 Bohr magnetons per cell.

Unit cell a=5.457 b=5.457 c=5.457 alpha=128.02 beta=117.72 gamma=85.35
Fractional coordinates of all 4 atoms:
Ba (0.000, 0.000, 0.000)
Ag (0.500, 0.500, 0.000)
Hg (0.286, 0.786, 0.500)
Hg (0.714, 0.214, 0.500)


Compound: BaAg2Hg2
Source: the Alexandria database
Functional: meta-GGA SCAN
Structure: PBEsol geometry

Summary:
The space group is I4/mmm, No. 139. For the density, the calculation gives 9632 kg/m3. The value obtained for the formation energy from the elements is -0.31 eV per atom. Its total magnetic moment is 0.00 Bohr magnetons per cell.

Unit cell a=6.249 b=6.249 c=6.249 alpha=132.53 beta=132.53 gamma=69.39
Fractional coordinates of all 5 atoms:
Ba (0.000, 0.000, 0.000)
Ag (0.250, 0.750, 0.500)
Ag (0.750, 0.250, 0.500)
Hg (0.363, 0.363, 0.000)
Hg (0.637, 0.637, 0.000)


Compound: BaAgHg2
Source: the Alexandria database
Functional: meta-GGA SCAN
Structure: PBEsol geometry

Summary:
The space group is P4mm, No. 99. For the density, the calculation gives 10024 kg/m3. The value obtained for the formation energy from the elements is -0.28 eV per atom. Its total magnetic moment is 0.00 Bohr magnetons per cell.

Unit cell a=3.873 b=3.873 c=7.139 alpha=90.00 beta=90.00 gamma=90.00
Fractional coordinates of all 4 atoms:
Ba (0.000, 0.000, 0.000)
Ag (0.500, 0.500, 0.703)
Hg (0.000, 0.000, 0.523)
Hg (0.500, 0.500, 0.298)


Compound: BaAg4Hg
Source: the Alexandria database
Functional: meta-GGA SCAN
Structure: PBEsol geometry

Summary:
The space group is F-43m, No. 216. For the density, the calculation gives 9942 kg/m3. The value obtained for the formation energy from the elements is -0.16 eV per atom. Its total magnetic moment is 0.00 Bohr magnetons per cell.

Unit cell a=5.664 b=5.664 c=5.664 alpha=60.00 beta=60.00 gamma=60.00
Fractional coordinates of all 6 atoms:
Ba (0.000, 0.000, 0.000)
Ag (0.376, 0.376, 0.376)
Ag (0.376, 0.376, 0.872)
Ag (0.376, 0.872, 0.376)
Ag (0.872, 0.376, 0.376)
Hg (0.750, 0.750, 0.750)


Compound: BaAg2Hg
Source: the Alexandria database
Functional: meta-GGA SCAN
Structure: PBEsol geometry

Summary:
The space group is R-3m, No. 166. For the density, the calculation gives 8505 kg/m3. The value obtained for the formation energy from the elements is -0.28 eV per atom. Its total magnetic moment is 0.00 Bohr magnetons per cell.

Unit cell a=6.069 b=6.069 c=6.069 alpha=46.69 beta=46.69 gamma=46.69
Fractional coordinates of all 4 atoms:
Ba (0.000, 0.000, 0.000)
Ag (0.201, 0.201, 0.201)
Ag (0.799, 0.799, 0.799)
Hg (0.500, 0.500, 0.500)


Compound: BaAg2Hg
Source: the Alexandria database
Functional: meta-GGA SCAN
Structure: PBEsol geometry

Summary:
The space group is R3m, No. 160. For the density, the calculation gives 8517 kg/m3. The value obtained for the formation energy from the elements is -0.32 eV per atom. Its total magnetic moment is 0.00 Bohr magnetons per cell.

Unit cell a=6.118 b=6.118 c=6.118 alpha=45.97 beta=45.97 gamma=45.97
Fractional coordinates of all 4 atoms:
Ba (0.000, 0.000, 0.000)
Ag (0.203, 0.203, 0.203)
Ag (0.515, 0.515, 0.515)
Hg (0.795, 0.795, 0.795)


Compound: BaAgI2
Source: the Alexandria database
Functional: meta-GGA SCAN
Structure: PBEsol geometry

Summary:
The space group is I-42d, No. 122. For the density, the calculation gives 4956 kg/m3. Its raw total energy is -36.8700 eV per atom. Its total magnetic moment is 0.00 Bohr magnetons per cell.

Unit cell a=10.647 b=10.647 c=10.647 alpha=148.18 beta=148.18 gamma=45.62
Fractional coordinates of all 8 atoms:
Ba (0.000, 0.000, 0.000)
Ba (0.750, 0.250, 0.500)
Ag (0.250, 0.750, 0.500)
Ag (0.500, 0.500, 0.000)
I (0.172, 0.625, 0.047)
I (0.375, 0.422, 0.547)
I (0.578, 0.125, 0.953)
I (0.875, 0.828, 0.453)


Compound: BaAgI2O
Source: the Alexandria database
Functional: meta-GGA SCAN
Structure: PBEsol geometry

Summary:
The space group is P4/mmm, No. 123. For the density, the calculation gives 4458 kg/m3. Its raw total energy is -30.6467 eV per atom. Its total magnetic moment is 0.00 Bohr magnetons per cell.

Unit cell a=6.616 b=6.616 c=4.383 alpha=90.00 beta=90.00 gamma=90.00
Fractional coordinates of all 5 atoms:
Ba (0.000, 0.000, 0.000)
Ag (0.500, 0.500, 0.500)
I (0.000, 0.500, 0.000)
I (0.500, 0.000, 0.000)
O (0.000, 0.000, 0.500)


Compound: BaAg2SbI
Source: the Alexandria database
Functional: meta-GGA SCAN
Structure: PBEsol geometry

Summary:
The space group is P4/mmm, No. 123. For the density, the calculation gives 5683 kg/m3. Its raw total energy is -35.0419 eV per atom. Its total magnetic moment is 0.00 Bohr magnetons per cell.

Unit cell a=5.309 b=5.309 c=6.239 alpha=90.00 beta=90.00 gamma=90.00
Fractional coordinates of all 5 atoms:
Ba (0.000, 0.000, 0.000)
Ag (0.000, 0.500, 0.500)
Ag (0.500, 0.000, 0.500)
Sb (0.500, 0.500, 0.000)
I (0.500, 0.500, 0.500)


Compound: BaInAg
Source: the Alexandria database
Functional: meta-GGA SCAN
Structure: PBEsol geometry

Summary:
The space group is I4mm, No. 107. For the density, the calculation gives 7041 kg/m3. The value obtained for the formation energy from the elements is -0.24 eV per atom. Its total magnetic moment is 0.00 Bohr magnetons per cell.

Unit cell a=6.635 b=6.635 c=6.635 alpha=147.30 beta=147.30 gamma=46.91
Fractional coordinates of all 3 atoms:
Ba (0.000, 0.000, 0.000)
In (0.294, 0.294, 0.000)
Ag (0.695, 0.695, 0.000)